A plane-wave DFT calculation with PBE was carried out for crystalline AsCl3 at its relaxed geometry.

Values from the calculation:
* E: -24.500 eV per cell
* DOS(E_F): 0.00 states/eV per atom
* total magnetic moment: 0.000 μB per atom

a b c (Å): 10.3013 10.3013 3.3911
angles (deg): 90.00 90.00 120.00
Space group P6_3/mmc (No. 194)
Symmetry-distinct sites (fractional):
As1 0.3333 0.6667 0.2500 x2
Cl1 0.2267 0.4534 0.7500 x6

---

A plane-wave DFT calculation with PBE was carried out for crystalline AsCl2 at its relaxed geometry.

Values from the calculation:
* DOS(E_F): 0.42 states/eV per atom
* total magnetic moment: 0.306 μB per atom
* E above lowest polymorph: 642 meV/atom

a b c (Å): 4.4780 4.4780 7.9129
angles (deg): 90.00 90.00 120.00
Space group P6_3/mmc (No. 194)
Symmetry-distinct sites (fractional):
As1 0.3333 0.6667 0.2500 x2
Cl1 0.0000 0.0000 0.0000 x2
Cl2 0.3333 0.6667 0.7500 x2

---

A plane-wave DFT calculation with PBE was carried out for crystalline As5Cl at its relaxed geometry.

Values from the calculation:
* DOS(E_F): 0.31 states/eV per atom
* total magnetic moment: 0.000 μB per atom
* E above lowest polymorph: 8 meV/atom

a b c (Å): 3.781 12.734 5.374
angles (deg): 90.00 90.00 90.00
Space group Cmmm (No. 65)
Symmetry-distinct sites (fractional):
As1 0.000 0.000 0.000 x2
As2 0.000 0.314 0.500 x4
As3 0.000 0.338 0.000 x4
Cl1 0.000 0.000 0.500 x2

---

A plane-wave DFT calculation with PBE was carried out for crystalline AsCl3 at its relaxed geometry.

Values from the calculation:
* E: -24.507 eV per cell
* DOS(E_F): 0.00 states/eV per atom
* total magnetic moment: 0.000 μB per atom

a b c (Å): 3.392 11.414 6.948
angles (deg): 90.00 90.00 90.00
Space group Imm2 (No. 44)
Symmetry-distinct sites (fractional):
As1 0.000 0.000 0.000 x2
Cl1 0.000 0.356 0.363 x4
Cl2 0.000 0.500 0.774 x2